# 1
A plane-wave DFT calculation with GGA-PBE was carried out for an optimized crystal structure of BaSrCa2.

Cell: 4.205 4.205 11.397 Å, 90.00 90.00 90.00°
Space group P4/mmm (No. 123)
One atom of each set of equivalent atoms:
Ba (0.000, 0.000, 0.000)
Sr (0.000, 0.000, 0.500)
Ca (0.500, 0.500, 0.259)

- Spin magnetization: 0.000 Bohr magnetons per cell
- Final energy: -1.872 eV/atom



# 2
A plane-wave DFT calculation with GGA-PBE was carried out for an optimized crystal structure of Ba3SrCa4.

Cell: 6.069 6.069 22.407 Å, 90.00 90.00 90.00°
Space group I4/mmm (No. 139)
One atom of each set of equivalent atoms:
Ba (0.000, 0.000, 0.000)
Ba (0.000, 0.000, 0.251)
Sr (0.000, 0.000, 0.500)
Ca (0.000, 0.500, 0.123)

- Spin magnetization: 0.000 Bohr magnetons per cell
- Final energy: -1.898 eV/atom



# 3
A plane-wave DFT calculation with GGA-PBE was carried out for an optimized crystal structure of Ba2Sr15Ca2.

Cell: 13.6775 13.6775 20.6390 Å, 90.00 90.00 120.00°
Space group R-3m (No. 166, hexagonal axes)
One atom of each set of equivalent atoms:
Ba (0.0000, 0.0000, 0.1850)
Sr (0.0000, 0.3022, 0.5000)
Sr (0.0000, 0.5000, 0.0000)
Sr (0.0018, 0.5009, 0.3449)
Ca (0.0000, 0.0000, 0.4081)

- Spin magnetization: 0.001 Bohr magnetons per cell
- Final energy: -1.640 eV/atom



# 4
A plane-wave DFT calculation with GGA-PBE was carried out for an optimized crystal structure of Ba3Sr3Ca4.

Cell: 4.427 15.627 15.618 Å, 90.00 90.00 90.00°
Space group Amm2 (No. 38)
One atom of each set of equivalent atoms:
Ba (0.000, 0.000, 0.000)
Ba (0.000, 0.174, 0.668)
Sr (0.000, 0.000, 0.346)
Sr (0.500, 0.250, 0.421)
Ca (0.500, 0.000, 0.546)
Ca (0.500, 0.000, 0.792)
Ca (0.500, 0.120, 0.177)

- Spin magnetization: 0.272 Bohr magnetons per cell
- Final energy: -1.776 eV/atom



# 5
A plane-wave DFT calculation with GGA-PBE was carried out for an optimized crystal structure of BaSrCa2.

Cell: 5.938 5.938 11.461 Å, 90.00 90.00 90.00°
Space group I4/mmm (No. 139)
One atom of each set of equivalent atoms:
Ba (0.000, 0.000, 0.000)
Sr (0.000, 0.000, 0.500)
Ca (0.000, 0.500, 0.250)

- Spin magnetization: 0.000 Bohr magnetons per cell
- Final energy: -1.871 eV/atom



# 6
A plane-wave DFT calculation with GGA-PBE was carried out for an optimized crystal structure of Ba5Sr4Ca.

Cell: 7.127 11.820 14.375 Å, 90.00 90.00 90.00°
Space group Immm (No. 71)
One atom of each set of equivalent atoms:
Ba (0.000, 0.000, 0.000)
Ba (0.000, 0.209, 0.189)
Sr (0.000, 0.195, 0.500)
Sr (0.000, 0.500, 0.345)
Ca (0.000, 0.500, 0.000)

- Spin magnetization: 0.000 Bohr magnetons per cell
- Final energy: -1.641 eV/atom



# 7
A plane-wave DFT calculation with GGA-PBE was carried out for an optimized crystal structure of Ba2SrCa3.

Cell: 6.035 17.939 5.680 Å, 90.00 90.00 90.00°
Space group Cmmm (No. 65)
One atom of each set of equivalent atoms:
Ba (0.000, 0.166, 0.000)
Sr (0.000, 0.500, 0.000)
Ca (0.000, 0.000, 0.500)
Ca (0.000, 0.336, 0.500)

- Spin magnetization: 0.000 Bohr magnetons per cell
- Final energy: -1.890 eV/atom



# 8
A plane-wave DFT calculation with GGA-PBE was carried out for an optimized crystal structure of BaSr4Ca8.

Cell: 12.772 5.744 16.787 Å, 90.00 94.15 90.00°
Space group Cm (No. 8)
One atom of each set of equivalent atoms:
Ba (0.000, 0.000, 0.000)
Sr (0.123, 0.500, 0.160)
Sr (0.155, 0.000, 0.540)
Sr (0.347, 0.500, 0.460)
Sr (0.378, 0.000, 0.840)
Ca (0.038, 0.500, 0.384)
Ca (0.073, 0.000, 0.763)
Ca (0.190, 0.500, 0.917)
Ca (0.234, 0.000, 0.308)
Ca (0.267, 0.500, 0.692)
Ca (0.310, 0.000, 0.083)
Ca (0.428, 0.500, 0.237)
Ca (0.464, 0.000, 0.616)

- Spin magnetization: 0.003 Bohr magnetons per cell
- Final energy: -1.876 eV/atom